(1)
Entry from Alexandria via LeMat-Bulk: a relaxed UIBrO crystal (PBE).

```
4
Lattice="-0.9525 -0.1435 3.7503 -1.7371 -2.3603 -2.5306 7.2574 -4.9636 -0.3312" Properties=species:S:1:pos:R:3 pbc="T T T"
U -0.7012 -2.1019 0.2841
I 2.4636 -2.1163 1.0881
Br 4.7833 -6.3405 -2.4680
O -0.4309 -1.3714 2.3799
```

Properties
formation energy without anion corrections	-1.872	eV/atom
Fermi-level density of states	5.7	states/eV per cell
SG	Cm

---

(2)
Entry from Alexandria via LeMat-Bulk: a relaxed K3AuF6 crystal (PBE).

```
10
Lattice="-3.8612 -3.7487 4.3315 4.6352 0.1355 5.2827 -2.7549 4.3941 4.6601" Properties=species:S:1:pos:R:3 pbc="T T T"
K 2.3176 0.0678 2.6413
K -1.9306 -1.8744 2.1658
K -1.3774 2.1971 2.3300
Au 0.0000 0.0000 0.0000
F -4.6803 0.2078 8.8594
F 2.6993 0.5731 5.4148
F -0.2079 -0.0626 2.6944
F -1.7731 0.8435 11.5799
F 1.3926 2.6239 9.6886
F -3.3735 -1.8430 4.5856
```

Properties
formation energy without anion corrections	-2.053	eV/atom
SG	P-1

---

(3)
Entry from Alexandria via LeMat-Bulk: a relaxed Ba2EuI crystal (PBE).

```
4
Lattice="-1.8515 2.4640 -2.9944 0.2587 -1.0977 -4.1466 -11.6191 -6.4846 -1.2349" Properties=species:S:1:pos:R:3 pbc="T T T"
Eu 0.0000 0.0000 0.0000
I -6.6060 -2.5592 -4.1880
Ba -8.2745 -4.3912 -1.5804
Ba -4.9374 -0.7271 -6.7955
```

Properties
formation energy without anion corrections	-0.443	eV/atom
Fermi-level density of states	4.9	states/eV per cell
SG	R-3m
excess energy over the best structure of this formula in the dataset	113	meV per atom

---

(4)
Entry from Alexandria via LeMat-Bulk: a relaxed TcHgGeOsW crystal (PBE).

```
10
Lattice="2.9302 0.0000 -0.0013 0.0000 4.5170 0.0000 -0.0715 0.0000 12.4470" Properties=species:S:1:pos:R:3 pbc="T T T"
Tc 2.7768 0.0000 2.4747
Tc 2.7411 2.2585 8.6982
Hg 1.2402 0.0000 12.4355
Hg 1.2759 2.2585 6.2120
Ge 1.2810 0.0000 9.5570
Ge 1.3167 2.2585 3.3335
Os 1.3189 0.0000 4.6520
Os 1.2832 2.2585 10.8755
W 2.7442 0.0000 7.2569
W 2.7799 2.2585 1.0334
```

Properties
Fermi-level density of states	7.5	states/eV per cell
SG	Cm
DFT formation energy	0.41	eV per atom
excess energy over the best structure of this formula in the dataset	206	meV per atom

---

(5)
Entry from Alexandria via LeMat-Bulk: a relaxed ZrBiPb crystal (PBE).

```
6
Lattice="-1.8561 -3.6784 -0.9476 1.8399 0.0520 -3.8060 7.0960 -4.4487 3.3695" Properties=species:S:1:pos:R:3 pbc="T T T"
Zr 6.1225 -3.2357 0.5674
Zr 0.9653 -3.0262 0.4253
Bi 3.6164 -1.6645 -0.6226
Bi 3.4715 -4.5974 1.6153
Pb 0.0000 0.0000 0.0000
Pb -0.0081 -1.8132 -2.3768
```

Properties
Fermi-level density of states	3.1	states/eV per cell
SG	P4/nmm
DFT formation energy	-0.13	eV per atom
excess energy over the best structure of this formula in the dataset	48	meV per atom

---

(6)
Entry from Alexandria via LeMat-Bulk: a relaxed LiHg2H2 crystal (PBE).

```
5
Lattice="-1.7277 -3.0749 -0.4554 1.9077 -1.4602 2.6222 -3.9115 -0.5889 4.9293" Properties=species:S:1:pos:R:3 pbc="T T T"
H -2.7745 -2.9657 2.7787
H -0.9569 -2.1583 4.3175
Hg -0.9988 -1.8108 2.1299
Hg -2.7326 -3.3132 4.9662
Li 0.0000 0.0000 0.0000
```

Properties
Fermi-level density of states	1.1	states/eV per cell
SG	I4/mmm
excess energy over the best structure of this formula in the dataset	320	meV per atom

---

(7)
Entry from Alexandria via LeMat-Bulk: a relaxed KThTe3Se crystal (PBE).

```
12
Lattice="4.4727 0.0000 0.0000 0.0000 9.8113 0.5336 0.0000 -4.1871 9.8373" Properties=species:S:1:pos:R:3 pbc="T T T"
K 1.1182 0.9830 2.0709
K 3.3545 4.6412 8.2999
Th 1.1182 5.8995 2.2551
Th 3.3545 -0.2754 8.1157
Te 3.3545 8.0917 1.9909
Te 1.1182 -2.4675 8.3800
Te 1.1182 4.2180 5.0061
Te 3.3545 1.4061 5.3647
Te 3.3545 3.7429 1.4765
Te 1.1182 1.8813 8.8943
Se 1.1182 -0.0816 5.5137
Se 3.3545 5.7058 4.8571
```

Properties
formation energy without anion corrections	-0.890	eV/atom
Fermi-level density of states	2.8	states/eV per cell
SG	P2_1/m

---

(8)
Entry from Alexandria via LeMat-Bulk: a relaxed Sn3TeBr4 crystal (PBE).

```
16
Lattice="7.5960 0.0000 0.0000 -3.7980 7.2282 -3.2152 0.0000 -0.3387 11.4373" Properties=species:S:1:pos:R:3 pbc="T T T"
Te 1.6165 6.9135 4.8809
Te -1.6165 7.0828 -0.8378
Sn 3.9815 2.1683 8.8313
Sn 3.6146 2.3377 3.1127
Sn 0.1458 4.3106 4.9213
Sn -0.1458 4.4800 -0.7974
Sn 3.9194 5.9329 6.4169
Sn 3.6767 6.1023 0.6983
Br 1.4084 1.1615 9.9379
Br 6.1877 1.3309 4.2193
Br 2.7150 2.7650 5.7734
Br 4.8811 2.9343 0.0548
Br -1.0827 3.7332 8.0021
Br 1.0827 3.9026 2.2835
Br -2.3510 5.5484 3.9185
Br 2.3509 5.7178 -1.8002
```

Properties
formation energy without anion corrections	-0.580	eV/atom
Fermi-level density of states	0.0	states/eV per cell
SG	Cc

---

(9)
Entry from Alexandria via LeMat-Bulk: a relaxed BaTl2Ru crystal (PBE).

```
4
Lattice="-3.1691 0.0404 -1.5863 0.5338 -3.3098 -1.1495 -3.4601 -2.9329 6.8378" Properties=species:S:1:pos:R:3 pbc="T T T"
Ba -2.1827 -2.3679 0.3415
Ru -3.9127 -3.8344 3.7604
Tl -3.2454 -2.7510 6.4136
Tl -1.9447 -1.6484 3.8430
```

Properties
Fermi-level density of states	0.8	states/eV per cell
SG	P4/mmm
DFT formation energy	0.18	eV per atom

---

(10)
Entry from Alexandria via LeMat-Bulk: a relaxed BaLiInBi2 crystal (PBE).

```
5
Lattice="-1.6537 1.4769 -6.0692 -5.3838 -3.4812 0.6198 -3.1381 5.2321 2.1283" Properties=species:S:1:pos:R:3 pbc="T T T"
In -2.6919 -1.7406 0.3099
Li -5.0878 1.6139 -1.6606
Bi -1.5690 2.6160 1.0641
Bi -0.8269 0.7385 -3.0346
Ba 0.0000 0.0000 0.0000
```

Properties
Fermi-level density of states	3.7	states/eV per cell
SG	P4/mmm
DFT formation energy	0.56	eV per atom
excess energy over the best structure of this formula in the dataset	1114	meV per atom

---

(11)
Entry from Alexandria via LeMat-Bulk: a relaxed CuNiMo2 crystal (PBE).

```
4
Lattice="2.6280 0.0482 0.0000 -0.0488 2.6280 0.0000 0.0000 0.0000 7.9107" Properties=species:S:1:pos:R:3 pbc="T T T"
Cu 1.2896 1.3381 5.9330
Mo 0.0000 0.0000 0.0656
Mo 0.0000 0.0000 3.8898
Ni 1.2896 1.3381 1.9777
```

Properties
Fermi-level density of states	5.8	states/eV per cell
SG	P4/mmm
DFT formation energy	0.14	eV per atom

---

(12)
Entry from Alexandria via LeMat-Bulk: a relaxed ZnBS2 crystal (PBE).

```
4
Lattice="-2.3264 -3.6283 4.8333 0.7031 -1.6942 6.2107 -2.7096 0.0555 5.8816" Properties=species:S:1:pos:R:3 pbc="T T T"
Zn -2.1664 -2.6335 8.4628
B 0.0000 0.0000 0.0000
S -3.9300 -4.7774 15.3519
S -0.4028 -0.4897 1.5737
```

Properties
formation energy without anion corrections	-0.047	eV/atom
Fermi-level density of states	1.2	states/eV per cell
SG	R-3m
excess energy over the best structure of this formula in the dataset	11	meV per atom